Record 1
VASP calculation (PBE) on a geometry-optimized BaSr2MgBr8 structure.

a b c (Å): 6.912 9.228 7.097
angles (deg): 90.00 90.67 90.00
Space group P2/m (No. 10)
Asymmetric unit:
1 Ba 0.000 0.000 0.000
2 Sr 0.500 0.266 0.500
3 Mg 0.000 0.500 0.000
4 Br 0.218 0.288 0.160
5 Br 0.253 0.500 0.689
6 Br 0.275 0.000 0.641

Magnetic moment   0.00 μB per formula unit
Total DFT energy (no corrections)   -3.62 eV per atom
ρ   3.581 g/cm3
DOS(E_F)   0.00 states/eV/cell
Energy relative to the elements, uncorrected   -1.929 eV/atom

Record 2
VASP calculation (PBE) on a geometry-optimized La2PrSi4 structure.

a b c (Å): 4.006 4.509 18.254
angles (deg): 90.00 90.00 90.00
Space group Immm (No. 71)
Asymmetric unit:
1 La 0.000 0.000 0.182
2 Pr 0.000 0.500 0.500
3 Si 0.000 0.000 0.359
4 Si 0.000 0.500 0.065

Magnetic moment   0.37 μB per formula unit
Total DFT energy (no corrections)   -5.90 eV per atom
ρ   5.349 g/cm3
DOS(E_F)   11.05 states/eV/cell
Energy relative to the elements, uncorrected   -0.708 eV/atom

Record 3
VASP calculation (PBE) on a geometry-optimized Rb2PaCdO6 structure.

a b c (Å): 8.717 8.717 8.717
angles (deg): 90.00 90.00 90.00
Space group Fm-3m (No. 225)
Asymmetric unit:
1 Rb 0.250 0.250 0.250
2 Pa 0.000 0.000 0.000
3 Cd 0.000 0.000 0.500
4 O 0.000 0.000 0.239

Magnetic moment   0.00 μB per formula unit
Total DFT energy (no corrections)   -6.00 eV per atom
ρ   6.120 g/cm3
DOS(E_F)   24.49 states/eV/cell
Energy relative to the elements, uncorrected   -1.791 eV/atom

Record 4
VASP calculation (PBE) on a geometry-optimized Ag2Br structure.

a b c (Å): 3.455 3.455 23.259
angles (deg): 90.00 90.00 90.00
Space group I4_1/amd (No. 141, origin choice 2)
Asymmetric unit:
1 Ag 0.000 0.250 0.297
2 Br 0.000 0.250 0.875

Polymorph energy (0 for the lowest one)   307 meV/atom
Magnetic moment   0.00 μB per formula unit
Total DFT energy (no corrections)   -2.31 eV per atom
ρ   7.072 g/cm3
DOS(E_F)   4.28 states/eV/cell
Energy relative to the elements, uncorrected   0.148 eV/atom

Record 5
VASP calculation (PBE) on a geometry-optimized LaPmSm2Tm5 structure.

a b c (Å): 8.715 8.715 15.378
angles (deg): 90.00 90.00 90.00
Space group I4/mcm (No. 140)
Asymmetric unit:
1 La 0.000 0.000 0.250
2 Pm 0.000 0.500 0.250
3 Sm 0.117 0.383 0.000
4 Tm 0.000 0.000 0.000
5 Tm 0.208 0.292 0.365

Magnetic moment   0.00 μB per formula unit
Total DFT energy (no corrections)   -4.35 eV per atom
ρ   8.129 g/cm3
DOS(E_F)   39.23 states/eV/cell
Formation enthalpy at 0 K   254 meV/atom

Record 6
VASP calculation (PBE) on a geometry-optimized MnTl2Cr structure.

a b c (Å): 7.127 7.127 7.127
angles (deg): 90.00 90.00 90.00
Space group F-43m (No. 216)
Asymmetric unit:
1 Mn 0.000 0.000 0.000
2 Tl 0.000 0.000 0.500
3 Tl 0.250 0.250 0.750
4 Cr 0.250 0.250 0.250

Polymorph energy (0 for the lowest one)   402 meV/atom
Magnetic moment   8.53 μB per formula unit
Total DFT energy (no corrections)   -5.07 eV per atom
ρ   9.462 g/cm3
DOS(E_F)   17.25 states/eV/cell
Formation enthalpy at 0 K   815 meV/atom